Here is Cr3IrS6 after structural relaxation from Alexandria. Energies are from PBE.

```
Cr3IrS6
1.0
6.405 0.000 0.000
0.000 6.011 0.000
-6.303 0.000 9.309
Cr Ir S
6 2 12
direct
0.000 0.000 0.000
0.000 0.500 0.500
0.435 0.124 0.748
0.435 0.376 0.248
0.565 0.624 0.752
0.565 0.876 0.252
0.500 0.000 0.500
0.500 0.500 0.000
0.176 0.107 0.253
0.176 0.393 0.753
0.236 0.660 0.068
0.236 0.840 0.568
0.399 0.162 0.066
0.399 0.338 0.566
0.601 0.662 0.434
0.601 0.838 0.934
0.764 0.160 0.432
0.764 0.340 0.932
0.824 0.607 0.247
0.824 0.893 0.747
```

Computed properties:
DFT total energy (eV per atom): -6.6867
N(E_F) (states/eV per cell): 3.63
Uncorrected formation energy (meV per atom): -437